[1]
SbPb2Se GGA-PBE optimized geometry; N(E_F) = 4.2 states/eV/f.u.; ΔE to the lowest computed polymorph = 28.8 kJ/mol of atoms; magnetization = 0.000 Bohr magnetons per cell; SG = No. 216; electronic total energy = -3.667 eV per atom
1.0
0.000 3.822 3.822
3.822 0.000 3.822
3.822 3.822 0.000
Sb Pb Se
1 2 1
direct
0.000 0.000 0.000
0.250 0.250 0.250
0.500 0.500 0.500
0.750 0.750 0.750


[2]
Tb2Si3NiPt12 GGA-PBE optimized geometry; N(E_F) = 7.9 states/eV/f.u.; magnetization = 0.002 Bohr magnetons per cell; SG = No. 166; electronic total energy = -6.229 eV per atom
1.0
4.073 2.352 6.036
-4.073 2.352 6.036
0.000 -4.703 6.036
Tb Si Ni Pt
2 3 1 12
direct
0.118 0.118 0.118
0.882 0.882 0.882
0.000 0.500 0.500
0.500 0.000 0.500
0.500 0.500 0.000
0.500 0.500 0.500
0.129 0.627 0.627
0.140 0.140 0.608
0.140 0.608 0.140
0.373 0.373 0.871
0.373 0.871 0.373
0.392 0.860 0.860
0.608 0.140 0.140
0.627 0.129 0.627
0.627 0.627 0.129
0.860 0.392 0.860
0.860 0.860 0.392
0.871 0.373 0.373


Number 1: uncorrected formation energy 0.09 eV per atom. Number 2: uncorrected formation energy -0.46 eV per atom.